[1]
A plane-wave DFT calculation with PBE was carried out for an optimized crystal structure of ScHgO3.

**Formation energy from raw total energies**: -1.6016 eV/atom
**Total moment**: 0.20 μB per atom
**Theoretical density**: 7.38 g/cm3
**Crystal system**: orthorhombic

a b c (Å): 3.361 14.294 5.498
angles (deg): 90.00 90.00 90.00
Space group Cmcm (No. 63)
One atom of each set of equivalent atoms:
Sc 0.000 0.198 0.250 [4 per cell]
Hg 0.000 0.443 0.250 [4 per cell]
O 0.000 0.047 0.250 [4 per cell]
O 0.000 0.319 0.502 [8 per cell]

***

[2]
A plane-wave DFT calculation with PBE was carried out for an optimized crystal structure of La2MoRh.

**Energy of formation from the pure elements**: 0.2701 eV/atom
**Total moment**: 0.06 μB per atom
**Theoretical density**: 8.17 g/cm3
**Crystal system**: trigonal

a b c (Å): 3.6809 3.6809 24.7709
angles (deg): 90.00 90.00 120.00
Space group R-3m (No. 166, hexagonal axes)
One atom of each set of equivalent atoms:
La 0.0000 0.0000 0.2463 [6 per cell]
Mo 0.0000 0.0000 0.0000 [3 per cell]
Rh 0.0000 0.0000 0.5000 [3 per cell]

***

[3]
A plane-wave DFT calculation with PBE was carried out for an optimized crystal structure of Ce3Se3N.

**Formation energy from raw total energies**: -1.7703 eV/atom
**Total moment**: 0.16 μB per atom
**Theoretical density**: 6.44 g/cm3
**Crystal system**: orthorhombic

a b c (Å): 12.784 4.083 13.252
angles (deg): 90.00 90.00 90.00
Space group Pnma (No. 62)
One atom of each set of equivalent atoms:
Ce 0.038 0.250 0.154 [4 per cell]
Ce 0.073 0.250 0.628 [4 per cell]
Ce 0.218 0.250 0.863 [4 per cell]
Se 0.092 0.250 0.391 [4 per cell]
Se 0.132 0.750 0.001 [4 per cell]
Se 0.227 0.750 0.693 [4 per cell]
N 0.047 0.250 0.796 [4 per cell]

***

[4]
A plane-wave DFT calculation with PBE was carried out for an optimized crystal structure of LaGaNi.

**Energy of formation from the pure elements**: -0.5471 eV/atom
**Total moment**: 0.00 μB per atom
**Theoretical density**: 6.88 g/cm3
**Crystal system**: monoclinic

a b c (Å): 4.291 4.309 6.979
angles (deg): 90.00 91.06 90.00
Space group P2_1/m (No. 11)
One atom of each set of equivalent atoms:
La 0.248 0.250 0.190 [2 per cell]
Ga 0.246 0.250 0.677 [2 per cell]
Ni 0.261 0.750 0.501 [2 per cell]

***

[5]
A plane-wave DFT calculation with PBE was carried out for an optimized crystal structure of TbHo2Tl.

**Energy of formation from the pure elements**: -0.1104 eV/atom
**Total moment**: 0.00 μB per atom
**Theoretical density**: 9.58 g/cm3
**Crystal system**: trigonal

a b c (Å): 3.5509 3.5509 33.0233
angles (deg): 90.00 90.00 120.00
Space group R-3m (No. 166, hexagonal axes)
One atom of each set of equivalent atoms:
Tb 0.0000 0.0000 0.0000 [3 per cell]
Ho 0.0000 0.0000 0.2465 [6 per cell]
Tl 0.0000 0.0000 0.5000 [3 per cell]

***

[6]
A plane-wave DFT calculation with PBE was carried out for an optimized crystal structure of In2SbTe6.

**Formation energy from raw total energies**: -0.0818 eV/atom
**Total moment**: 0.00 μB per atom
**Theoretical density**: 5.71 g/cm3
**Crystal system**: monoclinic

a b c (Å): 13.440 12.565 7.849
angles (deg): 90.00 101.40 90.00
Space group C2/c (No. 15)
One atom of each set of equivalent atoms:
In 0.185 0.096 0.290 [8 per cell]
Sb 0.000 0.418 0.250 [4 per cell]
Te 0.080 0.076 0.581 [8 per cell]
Te 0.103 0.389 0.631 [8 per cell]
Te 0.172 0.298 0.130 [8 per cell]

***

[7]
A plane-wave DFT calculation with PBE was carried out for an optimized crystal structure of Rb2TiMnS.

**Formation energy from raw total energies**: 0.8085 eV/atom
**Total moment**: 0.21 μB per atom
**Theoretical density**: 2.83 g/cm3
**Crystal system**: tetragonal

a b c (Å): 6.244 6.244 4.607
angles (deg): 90.00 90.00 90.00
Space group P4/mmm (No. 123)
One atom of each set of equivalent atoms:
Rb 0.000 0.500 0.000 [2 per cell]
Ti 0.000 0.000 0.500 [1 per cell]
Mn 0.000 0.000 0.000 [1 per cell]
S 0.500 0.500 0.500 [1 per cell]

***

[8]
A plane-wave DFT calculation with PBE was carried out for an optimized crystal structure of Na2Ag2As.

**Energy of formation from the pure elements**: 0.3609 eV/atom
**Total moment**: 0.00 μB per atom
**Theoretical density**: 4.96 g/cm3
**Crystal system**: tetragonal

a b c (Å): 3.968 3.968 14.303
angles (deg): 90.00 90.00 90.00
Space group I4/mmm (No. 139)
One atom of each set of equivalent atoms:
Na 0.000 0.500 0.250 [4 per cell]
Ag 0.000 0.000 0.093 [4 per cell]
As 0.000 0.000 0.500 [2 per cell]

***

What is the theoretical density in the third record?
6.44 g/cm3